(1)
## CoPbSe2 (PBE-GGA)

Data for a geometry-optimized CoPbSe2 structure.

Properties
Magnetization, μB per cell: 0.000
Volume, Å³ per cell: 88
E_form (uncorrected), eV per atom: 0.1315

a b c (Å): 3.082 3.082 9.253
angles (deg): 90.00 90.00 90.01
Element x y z (fractional)
Co (0.000, 0.000, 0.457)
Pb (0.500, 0.500, 0.701)
Se (0.000, 0.000, 0.993)
Se (0.500, 0.500, 0.349)



(2)
## AcAlPdN (PBE-GGA)

Data for a geometry-optimized AcAlPdN structure.

Properties
Magnetization, μB per cell: 0.000
Volume, Å³ per cell: 151
E_form (uncorrected), eV per atom: -1.0195

a b c (Å): 4.082 4.082 9.043
angles (deg): 90.00 90.00 90.00
Element x y z (fractional)
Ac (0.000, 0.500, 0.851)
Ac (0.500, 0.000, 0.149)
Al (0.000, 0.500, 0.339)
Al (0.500, 0.000, 0.661)
Pd (0.000, 0.000, 0.500)
Pd (0.500, 0.500, 0.500)
N (0.500, 0.000, 0.869)
N (0.000, 0.500, 0.131)



(3)
## NaTbCdPt (PBE-GGA)

Data for a geometry-optimized NaTbCdPt structure.

Properties
Magnetization, μB per cell: 0.000
Energy of formation from the pure elements, eV per atom: -0.44
Volume, Å³ per cell: 85

a b c (Å): 4.933 4.933 4.933
angles (deg): 60.00 60.00 60.00
Element x y z (fractional)
Na (0.250, 0.250, 0.250)
Tb (0.500, 0.500, 0.500)
Pt (0.750, 0.750, 0.750)
Cd (0.000, 0.000, 0.000)



(4)
## ZrW3C (PBE-GGA)

Data for a geometry-optimized ZrW3C structure.

Properties
Distance to the lowest polymorph of the same formula, meV per atom: 3794
Magnetization, μB per cell: 0.000
Energy of formation from the pure elements, eV per atom: 3.90
Volume, Å³ per cell: 111

a b c (Å): 4.811 4.811 4.811
angles (deg): 90.00 90.00 90.00
Element x y z (fractional)
C (0.500, 0.500, 0.500)
Zr (0.000, 0.000, 0.000)
W (0.000, 0.500, 0.000)
W (0.000, 0.000, 0.500)
W (0.500, 0.000, 0.000)



(5)
## NaNbBi2 (PBE-GGA)

Data for a geometry-optimized NaNbBi2 structure.

Properties
Distance to the lowest polymorph of the same formula, meV per atom: 0
Magnetization, μB per cell: 0.830
Energy of formation from the pure elements, eV per atom: -0.01
Volume, Å³ per cell: 105

a b c (Å): 3.550 3.550 8.332
angles (deg): 90.00 90.00 90.00
Site moments in Bohr magnetons follow the coordinates.
Element x y z (fractional)
Na (0.500, 0.500, 0.500)  0.00
Nb (0.500, 0.500, 0.000)  0.61
Bi (0.000, 0.000, 0.790)  0.02
Bi (0.000, 0.000, 0.210)  0.02



(6)
## TcOs3Cl (PBE-GGA)

Data for a geometry-optimized TcOs3Cl structure.

Properties
Distance to the lowest polymorph of the same formula, meV per atom: 442
Magnetization, μB per cell: 4.327
Volume, Å³ per cell: 108
E_form (uncorrected), eV per atom: 2.4639

a b c (Å): 4.761 4.761 4.761
angles (deg): 90.00 90.00 90.00
Site moments in Bohr magnetons follow the coordinates.
Element x y z (fractional)
Os (0.000, 0.500, 0.000)  1.38
Os (0.000, 0.000, 0.500)  1.38
Os (0.500, 0.000, 0.000)  1.18
Tc (0.000, 0.000, 0.000)  -0.21
Cl (0.500, 0.500, 0.500)  0.26



(7)
## Al4Pd7Pt (PBE-GGA)

Data for a geometry-optimized Al4Pd7Pt structure.

Properties
Magnetization, μB per cell: 0.000
Energy of formation from the pure elements, eV per atom: -0.73
Volume, Å³ per cell: 180

a b c (Å): 5.580 6.001 6.454
angles (deg): 83.19 60.98 100.98
Element x y z (fractional)
Al (0.489, 0.300, 0.663)
Al (0.511, 0.700, 0.337)
Al (0.785, 0.691, 0.814)
Al (0.215, 0.309, 0.186)
Pd (0.756, 0.019, 0.496)
Pd (0.244, 0.981, 0.504)
Pd (0.963, 0.643, 0.349)
Pd (0.037, 0.357, 0.651)
Pd (0.297, 0.634, 0.840)
Pd (0.500, 0.000, 0.000)
Pd (0.703, 0.366, 0.160)
Pt (0.000, 0.000, 0.000)



(8)
## Ta2CuCl (PBE-GGA)

Data for a geometry-optimized Ta2CuCl structure.

Properties
Distance to the lowest polymorph of the same formula, meV per atom: 375
Magnetization, μB per cell: 0.000
Volume, Å³ per cell: 67
E_form (uncorrected), eV per atom: 0.3759

a b c (Å): 4.709 4.709 5.268
angles (deg): 78.21 78.21 35.79
Element x y z (fractional)
Cl (0.750, 0.750, 0.750)
Cu (0.250, 0.250, 0.250)
Ta (0.003, 0.003, 0.016)
Ta (0.497, 0.497, 0.484)



(9)
## V2As2Os (PBE-GGA)

Data for a geometry-optimized V2As2Os structure.

Properties
Distance to the lowest polymorph of the same formula, meV per atom: 433
Magnetization, μB per cell: 1.392
Energy of formation from the pure elements, eV per atom: 0.42
Volume, Å³ per cell: 79

a b c (Å): 3.502 3.502 6.878
angles (deg): 75.25 75.25 90.00
Site moments in Bohr magnetons follow the coordinates.
Element x y z (fractional)
As (0.750, 0.250, 0.500)  0.00
As (0.250, 0.750, 0.500)  0.00
Os (0.000, 0.000, 0.000)  0.45
V (0.401, 0.401, 0.199)  0.43
V (0.599, 0.599, 0.801)  0.43



(10)
## AcNd2Hg (PBE-GGA)

Data for a geometry-optimized AcNd2Hg structure.

Properties
Distance to the lowest polymorph of the same formula, meV per atom: 99
Magnetization, μB per cell: 0.001
Energy of formation from the pure elements, eV per atom: -0.13
Volume, Å³ per cell: 131

a b c (Å): 5.159 5.041 5.041
angles (deg): 90.00 90.00 90.00
Element x y z (fractional)
Ac (0.500, 0.500, 0.500)
Nd (0.000, 0.000, 0.500)
Nd (0.000, 0.500, 0.000)
Hg (0.500, 0.000, 0.000)



(11)
## MnAs2Pt (PBE-GGA)

Data for a geometry-optimized MnAs2Pt structure.

Properties
Distance to the lowest polymorph of the same formula, meV per atom: 154
Magnetization, μB per cell: 0.363
Energy of formation from the pure elements, eV per atom: 0.01
Volume, Å³ per cell: 60

a b c (Å): 8.019 8.019 8.019
angles (deg): 21.35 21.35 21.35
Site moments in Bohr magnetons follow the coordinates.
Element x y z (fractional)
As (0.990, 0.990, 0.990)  -0.02
As (0.510, 0.510, 0.510)  -0.02
Mn (0.250, 0.250, 0.250)  0.43
Pt (0.750, 0.750, 0.750)  -0.04



(12)
## ZnTc2Os (PBE-GGA)

Data for a geometry-optimized ZnTc2Os structure.

Properties
Magnetization, μB per cell: 0.000
Energy of formation from the pure elements, eV per atom: 0.33
Volume, Å³ per cell: 58

a b c (Å): 2.968 4.314 4.511
angles (deg): 90.00 90.00 90.00
Element x y z (fractional)
Os (0.000, 0.500, 0.500)
Tc (0.000, 0.000, 0.000)
Tc (0.500, 0.500, 0.000)
Zn (0.500, 0.000, 0.500)



(13)
## LiCrSe2Br (PBE-GGA)

Data for a geometry-optimized LiCrSe2Br structure.

Properties
Distance to the lowest polymorph of the same formula, meV per atom: 0
Magnetization, μB per cell: 2.480
Volume, Å³ per cell: 126
E_form (uncorrected), eV per atom: -0.3634

a b c (Å): 4.794 4.794 5.485
angles (deg): 90.00 90.00 90.00
Site moments in Bohr magnetons follow the coordinates.
Element x y z (fractional)
Cr (0.000, 0.000, 0.000)  2.79
Se (0.000, 0.500, 0.000)  -0.18
Se (0.500, 0.000, 0.000)  -0.18
Br (0.000, 0.000, 0.500)  -0.04
Li (0.500, 0.500, 0.500)  0.00



(14)
## V2Ga2Ni (PBE-GGA)

Data for a geometry-optimized V2Ga2Ni structure.

Properties
Magnetization, μB per cell: 1.467
Energy of formation from the pure elements, eV per atom: -0.07
Volume, Å³ per cell: 141

a b c (Å): 6.092 6.092 3.798
angles (deg): 90.00 90.00 90.00
Site moments in Bohr magnetons follow the coordinates.
Element x y z (fractional)
Ni (0.000, 0.000, 0.000)  0.06
Ni (0.500, 0.500, 0.000)  0.06
Ga (0.355, 0.855, 0.000)  -0.01
Ga (0.855, 0.645, 0.000)  -0.01
Ga (0.645, 0.145, 0.000)  -0.01
Ga (0.145, 0.355, 0.000)  -0.01
V (0.156, 0.656, 0.500)  0.32
V (0.656, 0.844, 0.500)  0.32
V (0.844, 0.344, 0.500)  0.32
V (0.344, 0.156, 0.500)  0.32



(15)
## V4Ru2W (PBE-GGA)

Data for a geometry-optimized V4Ru2W structure.

Properties
Magnetization, μB per cell: 3.664
Energy of formation from the pure elements, eV per atom: 1.14
Volume, Å³ per cell: 126

a b c (Å): 4.516 4.516 6.953
angles (deg): 71.05 71.05 90.00
Site moments in Bohr magnetons follow the coordinates.
Element x y z (fractional)
Ru (0.385, 0.385, 0.231)  -0.35
Ru (0.615, 0.615, 0.769)  -0.35
W (0.000, 0.000, 0.000)  -0.14
V (0.201, 0.201, 0.597)  1.41
V (0.799, 0.799, 0.403)  1.41
V (0.000, 0.500, 0.000)  0.52
V (0.500, 0.000, 0.000)  0.52



(16)
## CeNd2SmBi5 (PBE-GGA)

Data for a geometry-optimized CeNd2SmBi5 structure.

Properties
Magnetization, μB per cell: 0.757
Energy of formation from the pure elements, eV per atom: -0.07
Volume, Å³ per cell: 368

a b c (Å): 5.514 5.514 12.091
angles (deg): 90.00 90.00 90.00
Site moments in Bohr magnetons follow the coordinates.
Element x y z (fractional)
Ce (0.000, 0.000, 0.000)  0.81
Nd (0.500, 0.500, 0.276)  -0.01
Nd (0.500, 0.500, 0.724)  -0.01
Sm (0.000, 0.000, 0.500)  -0.01
Bi (0.000, 0.500, 0.500)  0.00
Bi (0.500, 0.000, 0.500)  0.00
Bi (0.000, 0.000, 0.753)  0.00
Bi (0.000, 0.000, 0.247)  0.00
Bi (0.500, 0.500, 0.000)  -0.02



(17)
## Li2AlAg4 (PBE-GGA)

Data for a geometry-optimized Li2AlAg4 structure.

Properties
Distance to the lowest polymorph of the same formula, meV per atom: 0
Magnetization, μB per cell: 0.000
Energy of formation from the pure elements, eV per atom: -0.13
Volume, Å³ per cell: 123

a b c (Å): 5.475 5.475 5.475
angles (deg): 98.67 115.13 115.13
Element x y z (fractional)
Li (0.500, 0.500, 0.000)
Li (0.500, 0.000, 0.500)
Al (0.000, 0.000, 0.000)
Ag (0.500, 0.000, 0.000)
Ag (0.500, 0.500, 0.500)
Ag (0.000, 0.000, 0.500)
Ag (0.000, 0.500, 0.000)